1.
{
  "formula": "Er2MgC",
  "functional": "GGA-PBE",
  "state": "relaxed",
  "lattice_angstrom": [[-2.9240, 0.2890, 1.8781], [2.3737, -2.4165, 0.8286], [3.9149, 5.6382, 5.2275]],
  "species": ["Er", "Er", "Mg", "C"],
  "frac_coords": [[0.4666, 0.5334, 0.3349], [0.4666, 0.5334, 0.6651], [0.7995, 0.2005, 0.0000], [0.1333, 0.8667, 0.5000]],
  "crystal_system": "hexagonal",
  "final_energy_ev_per_atom": -4.979,
  "magnetic_moment_mub_per_cell": 0.01
}

---

2.
{
  "formula": "BaHf2Hg2",
  "functional": "GGA-PBE",
  "state": "relaxed",
  "lattice_angstrom": [[8.9204, 0.0000, 0.0000], [0.0000, 8.9204, 0.0000], [0.0000, 0.0000, 3.1820]],
  "species": ["Hf", "Hf", "Hf", "Hf", "Hg", "Hg", "Hg", "Hg", "Ba", "Ba"],
  "frac_coords": [[0.3806, 0.8806, 0.0000], [0.8806, 0.6194, 0.0000], [0.6194, 0.1194, 0.0000], [0.1194, 0.3806, 0.0000], [0.1755, 0.6755, 0.5000], [0.6755, 0.8245, 0.5000], [0.8245, 0.3245, 0.5000], [0.3245, 0.1755, 0.5000], [0.0000, 0.0000, 0.0000], [0.5000, 0.5000, 0.0000]],
  "crystal_system": "tetragonal",
  "final_energy_ev_per_atom": -4.373,
  "magnetic_moment_mub_per_cell": 0.00
}

---

3.
{
  "formula": "TbPm2NdBi4",
  "functional": "GGA-PBE",
  "state": "relaxed",
  "lattice_angstrom": [[-3.0396, 3.3526, 0.6214], [-5.4579, -4.2350, -3.8476], [-3.9384, -4.5252, 5.1500]],
  "species": ["Tb", "Pm", "Pm", "Nd", "Bi", "Bi", "Bi", "Bi"],
  "frac_coords": [[0.0000, 0.5000, 0.5000], [0.0000, 0.0000, 0.0000], [0.5000, 0.0000, 0.5000], [0.5000, 0.5000, 0.0000], [0.0000, 0.7493, 0.7468], [0.0000, 0.2507, 0.2532], [0.5000, 0.7468, 0.2545], [0.5000, 0.2532, 0.7455]],
  "crystal_system": "monoclinic",
  "final_energy_ev_per_atom": -5.228,
  "magnetic_moment_mub_per_cell": 0.00
}

---

4.
{
  "formula": "Sc2ReSbAu",
  "functional": "GGA-PBE",
  "state": "relaxed",
  "lattice_angstrom": [[5.0879, 0.0000, 0.0000], [0.0000, 4.9863, 0.0000], [0.0000, 0.0000, 5.0879]],
  "species": ["Sc", "Sc", "Re", "Au", "Sb"],
  "frac_coords": [[0.0000, 0.0000, 0.5000], [0.5000, 0.0000, 0.0000], [0.0000, 0.0000, 0.0000], [0.5000, 0.5000, 0.5000], [0.0000, 0.5000, 0.0000]],
  "crystal_system": "tetragonal",
  "raw_formation_energy_ev_per_atom": 0.173,
  "final_energy_ev_per_atom": -6.329,
  "magnetic_moment_mub_per_cell": 0.00
}

---

5.
{
  "formula": "Ba2HgSbAs",
  "functional": "GGA-PBE",
  "state": "relaxed",
  "lattice_angstrom": [[4.7891, 0.0000, 0.0000], [0.0000, 8.2249, 0.2531], [0.0000, -3.2402, 9.5573]],
  "species": ["Ba", "Ba", "Ba", "Ba", "Hg", "Hg", "Sb", "Sb", "As", "As"],
  "frac_coords": [[0.7500, 0.8138, 0.6008], [0.7500, 0.7695, 0.0294], [0.2500, 0.1862, 0.3992], [0.2500, 0.2305, 0.9706], [0.2500, 0.5055, 0.7353], [0.7500, 0.4945, 0.2647], [0.2500, 0.7014, 0.3011], [0.7500, 0.2986, 0.6989], [0.2500, 0.8365, 0.8242], [0.7500, 0.1635, 0.1758]],
  "crystal_system": "monoclinic",
  "raw_formation_energy_ev_per_atom": -0.842,
  "final_energy_ev_per_atom": -3.426,
  "magnetic_moment_mub_per_cell": 0.00
}

---

6.
{
  "formula": "CeHoTcRh",
  "functional": "GGA-PBE",
  "state": "relaxed",
  "lattice_angstrom": [[4.8609, 0.0000, 0.0000], [2.4304, 4.2096, 0.0000], [2.4304, 1.4032, 3.9689]],
  "species": ["Rh", "Ho", "Ce", "Tc"],
  "frac_coords": [[0.7500, 0.7500, 0.7500], [0.5000, 0.5000, 0.5000], [0.0000, 0.0000, 0.0000], [0.2500, 0.2500, 0.2500]],
  "crystal_system": "cubic",
  "final_energy_ev_per_atom": -7.442,
  "magnetic_moment_mub_per_cell": 0.00
}

---

7.
{
  "formula": "LaSm2Y3Sb6",
  "functional": "GGA-PBE",
  "state": "relaxed",
  "lattice_angstrom": [[7.7271, -0.0012, 0.0008], [-3.8627, 6.6923, 0.0008], [-1.2886, -2.2313, 7.2684]],
  "species": ["La", "Sm", "Sm", "Y", "Y", "Y", "Sb", "Sb", "Sb", "Sb", "Sb", "Sb"],
  "frac_coords": [[0.0000, 0.0000, 0.0000], [0.3329, 0.6671, 0.0000], [0.6671, 0.3329, 0.0000], [0.1652, 0.8348, 0.5000], [0.8348, 0.1652, 0.5000], [0.5000, 0.5000, 0.5000], [0.9139, 0.5763, 0.7419], [0.7479, 0.7479, 0.2567], [0.0861, 0.4237, 0.2581], [0.5763, 0.9139, 0.7419], [0.2521, 0.2521, 0.7433], [0.4237, 0.0861, 0.2581]],
  "crystal_system": "monoclinic",
  "raw_formation_energy_ev_per_atom": -1.184,
  "final_energy_ev_per_atom": -6.059,
  "magnetic_moment_mub_per_cell": 0.00
}

---

8.
{
  "formula": "BiSb2Ru2",
  "functional": "GGA-PBE",
  "state": "relaxed",
  "lattice_angstrom": [[-7.8514, -1.1371, 0.5990], [0.0068, -3.7450, -7.0194], [0.5124, -2.7614, 1.4738]],
  "species": ["Sb", "Sb", "Sb", "Sb", "Bi", "Bi", "Ru", "Ru", "Ru", "Ru"],
  "frac_coords": [[0.1476, 0.6476, 0.5000], [0.6476, 0.8524, 0.5000], [0.8524, 0.3524, 0.5000], [0.3524, 0.1476, 0.5000], [0.0000, 0.0000, 0.0000], [0.5000, 0.5000, 0.0000], [0.3612, 0.8612, 0.0000], [0.8612, 0.6388, 0.0000], [0.6388, 0.1388, 0.0000], [0.1388, 0.3612, 0.0000]],
  "crystal_system": "tetragonal",
  "raw_formation_energy_ev_per_atom": 0.120,
  "final_energy_ev_per_atom": -6.016,
  "magnetic_moment_mub_per_cell": 0.00
}

---

Copy entry 6 word for word.
{
  "formula": "CeHoTcRh",
  "functional": "GGA-PBE",
  "state": "relaxed",
  "lattice_angstrom": [[4.8609, 0.0000, 0.0000], [2.4304, 4.2096, 0.0000], [2.4304, 1.4032, 3.9689]],
  "species": ["Rh", "Ho", "Ce", "Tc"],
  "frac_coords": [[0.7500, 0.7500, 0.7500], [0.5000, 0.5000, 0.5000], [0.0000, 0.0000, 0.0000], [0.2500, 0.2500, 0.2500]],
  "crystal_system": "cubic",
  "final_energy_ev_per_atom": -7.442,
  "magnetic_moment_mub_per_cell": 0.00
}